! La2NdSe3 (GGA-PBE, relaxed); values from VASP
! mass density = 6.6 g cm⁻³
! space group = P-3m1, No. 164
! uncorrected energy = -6.129 eV/atom
&SYSTEM
  ibrav = 0, nat = 6, ntyp = 3
/
ATOMIC_SPECIES
La 138.91 La.upf
Nd 144.24 Nd.upf
Se 78.96 Se.upf
CELL_PARAMETERS angstrom
4.282 0.000 0.000
-2.141 3.708 0.000
0.000 0.000 10.476
ATOMIC_POSITIONS crystal
La 0.333 0.667 0.170
La 0.667 0.333 0.830
Nd 0.000 0.000 0.500
Se 0.000 0.000 0.000
Se 0.333 0.667 0.662
Se 0.667 0.333 0.338